[1]
First-principles (PBE) data for a relaxed Ca2Ga4GeAu3 crystal, as listed in Alexandria.

## Properties
- DFT formation energy: -0.506 eV per atom
- Magnetic moment: 0.0 μB/f.u.
- D(E_F): 0.4906 states/eV per atom

```
data_Ca2Ga4GeAu3
_chemical_formula_sum 'Ca2 Ga4 Ge1 Au3'
_cell_length_a 4.336
_cell_length_b 4.336
_cell_length_c 11.139
_cell_angle_alpha 90.00
_cell_angle_beta 90.00
_cell_angle_gamma 90.00
_symmetry_space_group_name_H-M 'P -4 m 2'
_symmetry_Int_Tables_number 115
loop_
_symmetry_equiv_pos_as_xyz
'x,y,z'
'y,-x,-z'
'-x,-y,z'
'-y,x,-z'
'-x,y,z'
'-y,-x,-z'
'x,-y,z'
'y,x,-z'
loop_
_atom_site_label
_atom_site_fract_x
_atom_site_fract_y
_atom_site_fract_z
Ca1 0.000 0.500 0.248
Ga1 0.000 0.000 0.500
Ga2 0.000 0.500 0.863
Ga3 0.500 0.500 0.500
Ge1 0.500 0.500 0.000
Au1 0.000 0.000 0.000
Au2 0.000 0.500 0.636
```


[2]
First-principles (PBE) data for a relaxed Ca3GaGe2Au6 crystal, as listed in Alexandria.

## Properties
- DFT formation energy: -0.457 eV per atom
- Magnetic moment: 0.0 μB/f.u.
- D(E_F): 0.3164 states/eV per atom

```
data_Ca3GaGe2Au6
_chemical_formula_sum 'Ca3 Ga1 Ge2 Au6'
_cell_length_a 6.2004
_cell_length_b 6.2004
_cell_length_c 8.2856
_cell_angle_alpha 90.00
_cell_angle_beta 90.00
_cell_angle_gamma 120.00
_symmetry_space_group_name_H-M 'P -3 m 1'
_symmetry_Int_Tables_number 164
_symmetry_space_group_name_Hall '-P 3 2"'
loop_
_atom_site_label
_atom_site_fract_x
_atom_site_fract_y
_atom_site_fract_z
Ca1 0.0000 0.0000 0.0000
Ca2 0.3333 0.6667 0.6439
Ga1 0.0000 0.0000 0.5000
Ge1 0.3333 0.6667 0.0448
Au1 0.1753 0.3505 0.2888
```


[3]
First-principles (PBE) data for a relaxed Ca3Ga2GeAu9 crystal, as listed in Alexandria.

## Properties
- DFT formation energy: -0.347 eV per atom
- Magnetic moment: 0.0 μB/f.u.
- D(E_F): 0.3313 states/eV per atom

```
data_Ca3Ga2GeAu9
_chemical_formula_sum 'Ca3 Ga2 Ge1 Au9'
_cell_length_a 7.8906
_cell_length_b 7.8906
_cell_length_c 6.5742
_cell_angle_alpha 90.00
_cell_angle_beta 90.00
_cell_angle_gamma 120.00
_symmetry_space_group_name_H-M 'P -3 m 1'
_symmetry_Int_Tables_number 164
_symmetry_space_group_name_Hall '-P 3 2"'
loop_
_atom_site_label
_atom_site_fract_x
_atom_site_fract_y
_atom_site_fract_z
Ca1 0.0000 0.0000 0.0000
Ca2 0.3333 0.6667 0.6656
Ga1 0.3333 0.6667 0.1639
Ge1 0.0000 0.0000 0.5000
Au1 0.0000 0.5000 0.0000
Au2 0.1669 0.3337 0.3302
```


[4]
First-principles (PBE) data for a relaxed Ca2GaGeAu6 crystal, as listed in Alexandria.

## Properties
- DFT formation energy: -0.452 eV per atom
- Magnetic moment: 0.0 μB/f.u.
- D(E_F): 0.2811 states/eV per atom

```
data_Ca2GaGeAu6
_chemical_formula_sum 'Ca4 Ga2 Ge2 Au12'
_cell_length_a 5.778
_cell_length_b 8.770
_cell_length_c 8.994
_cell_angle_alpha 90.00
_cell_angle_beta 90.00
_cell_angle_gamma 90.00
_symmetry_space_group_name_H-M 'P m m n'
_symmetry_Int_Tables_number 59
loop_
_symmetry_equiv_pos_as_xyz
'x,y,z'
'-x,-y,-z'
'-x+1/2,-y+1/2,z'
'x+1/2,y+1/2,-z'
'x+1/2,-y,-z'
'-x+1/2,y,z'
'-x,y+1/2,-z'
'x,-y+1/2,z'
loop_
_atom_site_label
_atom_site_fract_x
_atom_site_fract_y
_atom_site_fract_z
Ca1 0.250 0.001 0.235
Ga1 0.250 0.750 0.765
Ge1 0.250 0.250 0.771
Au1 0.002 0.250 0.485
Au2 0.002 0.750 0.999
Au3 0.250 0.006 0.618
```